No. 1
Compound: Ga3AsPb
Source: Alexandria
Functional: PBE
Structure: relaxed

Cell and atoms, written as CIF:
```
data_Ga3AsPb
_space_group_name_H-M_alt 'P 1'
_space_group_IT_number 1
_cell_length_a 5.037
_cell_length_b 5.037
_cell_length_c 5.037
_cell_angle_alpha 90.00
_cell_angle_beta 90.00
_cell_angle_gamma 90.00
loop_
_space_group_symop_operation_xyz
'x,y,z'
loop_
_atom_site_label
_atom_site_type_symbol
_atom_site_fract_x
_atom_site_fract_y
_atom_site_fract_z
Ga1 Ga 0.000 0.000 0.500
Ga2 Ga 0.000 0.500 0.000
Ga3 Ga 0.500 0.000 0.000
As1 As 0.000 0.000 0.000
Pb1 Pb 0.500 0.500 0.500
```

## Properties
- Density of states at the Fermi level: 0.633 states/eV per atom
- Energy relative to the elements: 1.5 eV per formula unit

=====

No. 2
Compound: CaLa7Pr4
Source: Alexandria
Functional: PBE
Structure: relaxed

Cell and atoms, written as CIF:
```
data_CaLa7Pr4
_space_group_name_H-M_alt 'P 1'
_space_group_IT_number 1
_cell_length_a 6.480
_cell_length_b 7.493
_cell_length_c 9.905
_cell_angle_alpha 100.90
_cell_angle_beta 109.09
_cell_angle_gamma 90.03
loop_
_space_group_symop_operation_xyz
'x,y,z'
loop_
_atom_site_label
_atom_site_type_symbol
_atom_site_fract_x
_atom_site_fract_y
_atom_site_fract_z
Ca1 Ca 0.000 0.000 0.000
La1 La 0.000 0.500 0.000
La2 La 0.003 0.662 0.664
La3 La 0.491 0.916 0.662
La4 La 0.499 0.260 0.001
La5 La 0.501 0.740 0.999
La6 La 0.509 0.084 0.338
La7 La 0.997 0.338 0.336
Pr1 Pr 0.003 0.170 0.663
Pr2 Pr 0.498 0.585 0.333
Pr3 Pr 0.502 0.415 0.667
Pr4 Pr 0.997 0.830 0.337
```

## Properties
- Density of states at the Fermi level: 1.717 states/eV per atom
- Energy relative to the elements: 0.3 eV per formula unit

=====

No. 3
Compound: BaCd
Source: Alexandria
Functional: PBE
Structure: relaxed

Cell and atoms, written as CIF:
```
data_BaCd
_space_group_name_H-M_alt 'P 1'
_space_group_IT_number 1
_cell_length_a 8.210
_cell_length_b 8.210
_cell_length_c 8.210
_cell_angle_alpha 145.87
_cell_angle_beta 65.15
_cell_angle_gamma 126.33
loop_
_space_group_symop_operation_xyz
'x,y,z'
loop_
_atom_site_label
_atom_site_type_symbol
_atom_site_fract_x
_atom_site_fract_y
_atom_site_fract_z
Ba1 Ba 0.000 0.000 0.000
Ba2 Ba 0.504 0.194 0.310
Ba3 Ba 0.884 0.194 0.690
Cd1 Cd 0.131 0.746 0.385
Cd2 Cd 0.361 0.746 0.615
Cd3 Cd 0.488 0.488 0.000
```

## Properties
- Density of states at the Fermi level: 1.019 states/eV per atom
- Energy relative to the elements: -0.4 eV per formula unit

=====

No. 4
Compound: TmSiHRh2
Source: Alexandria
Functional: PBE
Structure: relaxed

Cell and atoms, written as CIF:
```
data_TmSiHRh2
_space_group_name_H-M_alt 'P 1'
_space_group_IT_number 1
_cell_length_a 5.680
_cell_length_b 5.680
_cell_length_c 7.192
_cell_angle_alpha 90.00
_cell_angle_beta 90.00
_cell_angle_gamma 142.94
loop_
_space_group_symop_operation_xyz
'x,y,z'
loop_
_atom_site_label
_atom_site_type_symbol
_atom_site_fract_x
_atom_site_fract_y
_atom_site_fract_z
Tm1 Tm 0.048 0.952 0.750
Tm2 Tm 0.952 0.048 0.250
Si1 Si 0.230 0.770 0.250
Si2 Si 0.770 0.230 0.750
H1 H 0.500 0.500 0.000
H2 H 0.500 0.500 0.500
Rh1 Rh 0.345 0.655 0.553
Rh2 Rh 0.345 0.655 0.947
Rh3 Rh 0.655 0.345 0.053
Rh4 Rh 0.655 0.345 0.447
```

## Properties
- Density of states at the Fermi level: 0.523 states/eV per atom
- E_tot: -6.47 eV/atom

=====

No. 5
Compound: PuBiPd2
Source: Alexandria
Functional: PBE
Structure: relaxed

Cell and atoms, written as CIF:
```
data_PuBiPd2
_space_group_name_H-M_alt 'P 1'
_space_group_IT_number 1
_cell_length_a 3.659
_cell_length_b 3.659
_cell_length_c 6.573
_cell_angle_alpha 90.00
_cell_angle_beta 90.00
_cell_angle_gamma 90.00
loop_
_space_group_symop_operation_xyz
'x,y,z'
loop_
_atom_site_label
_atom_site_type_symbol
_atom_site_fract_x
_atom_site_fract_y
_atom_site_fract_z
Pu1 Pu 0.000 0.000 0.000
Bi1 Bi 0.000 0.000 0.500
Pd1 Pd 0.500 0.500 0.234
Pd2 Pd 0.500 0.500 0.766
```

## Properties
- Density of states at the Fermi level: 4.113 states/eV per atom
- Energy relative to the elements: -1.2 eV per formula unit

=====

No. 6
Compound: SrErSi2Pt4
Source: Alexandria
Functional: PBE
Structure: relaxed

Cell and atoms, written as CIF:
```
data_SrErSi2Pt4
_space_group_name_H-M_alt 'P 1'
_space_group_IT_number 1
_cell_length_a 4.291
_cell_length_b 4.291
_cell_length_c 8.687
_cell_angle_alpha 90.00
_cell_angle_beta 90.00
_cell_angle_gamma 90.00
loop_
_space_group_symop_operation_xyz
'x,y,z'
loop_
_atom_site_label
_atom_site_type_symbol
_atom_site_fract_x
_atom_site_fract_y
_atom_site_fract_z
Sr1 Sr 0.000 0.000 0.000
Er1 Er 0.000 0.000 0.500
Si1 Si 0.500 0.500 0.150
Si2 Si 0.500 0.500 0.850
Pt1 Pt 0.000 0.500 0.277
Pt2 Pt 0.000 0.500 0.723
Pt3 Pt 0.500 0.000 0.277
Pt4 Pt 0.500 0.000 0.723
```

## Properties
- Formation energy from raw total energies: -0.890 eV/atom
- Density of states at the Fermi level: 0.609 states/eV per atom

=====

No. 7
Compound: Tb2PrDyTh
Source: Alexandria
Functional: PBE
Structure: relaxed

Cell and atoms, written as CIF:
```
data_Tb2PrDyTh
_space_group_name_H-M_alt 'P 1'
_space_group_IT_number 1
_cell_length_a 7.360
_cell_length_b 7.360
_cell_length_c 6.962
_cell_angle_alpha 90.00
_cell_angle_beta 90.00
_cell_angle_gamma 108.62
loop_
_space_group_symop_operation_xyz
'x,y,z'
loop_
_atom_site_label
_atom_site_type_symbol
_atom_site_fract_x
_atom_site_fract_y
_atom_site_fract_z
Tb1 Tb 0.183 0.183 0.000
Tb2 Tb 0.183 0.183 0.500
Tb3 Tb 0.817 0.817 0.000
Tb4 Tb 0.817 0.817 0.500
Pr1 Pr 0.234 0.766 0.750
Pr2 Pr 0.766 0.234 0.250
Dy1 Dy 0.224 0.776 0.250
Dy2 Dy 0.776 0.224 0.750
Th1 Th 0.497 0.503 0.250
Th2 Th 0.503 0.497 0.750
```

## Properties
- Density of states at the Fermi level: 1.507 states/eV per atom
- Energy relative to the elements: 2.1 eV per formula unit

=====

No. 8
Compound: Sr2TcBr
Source: Alexandria
Functional: PBE
Structure: relaxed

Cell and atoms, written as CIF:
```
data_Sr2TcBr
_space_group_name_H-M_alt 'P 1'
_space_group_IT_number 1
_cell_length_a 5.513
_cell_length_b 5.513
_cell_length_c 5.513
_cell_angle_alpha 60.00
_cell_angle_beta 60.00
_cell_angle_gamma 60.00
loop_
_space_group_symop_operation_xyz
'x,y,z'
loop_
_atom_site_label
_atom_site_type_symbol
_atom_site_fract_x
_atom_site_fract_y
_atom_site_fract_z
Sr1 Sr 0.250 0.250 0.250
Sr2 Sr 0.750 0.750 0.750
Tc1 Tc 0.000 0.000 0.000
Br1 Br 0.500 0.500 0.500
```

## Properties
- Formation energy from raw total energies: 0.194 eV/atom
- Density of states at the Fermi level: 1.643 states/eV per atom

=====

No. 9
Compound: CuRhW2
Source: Alexandria
Functional: PBE
Structure: relaxed

Cell and atoms, written as CIF:
```
data_CuRhW2
_space_group_name_H-M_alt 'P 1'
_space_group_IT_number 1
_cell_length_a 2.717
_cell_length_b 3.995
_cell_length_c 5.377
_cell_angle_alpha 90.00
_cell_angle_beta 90.10
_cell_angle_gamma 90.00
loop_
_space_group_symop_operation_xyz
'x,y,z'
loop_
_atom_site_label
_atom_site_type_symbol
_atom_site_fract_x
_atom_site_fract_y
_atom_site_fract_z
Cu1 Cu 0.000 0.000 0.000
Rh1 Rh 0.000 0.000 0.500
W1 W 0.498 0.500 0.247
W2 W 0.502 0.500 0.753
```

## Properties
- Density of states at the Fermi level: 0.566 states/eV per atom
- Energy relative to the elements: 0.4 eV per formula unit

=====

No. 10
Compound: SmTlInSe3
Source: Alexandria
Functional: PBE
Structure: relaxed

Cell and atoms, written as CIF:
```
data_SmTlInSe3
_space_group_name_H-M_alt 'P 1'
_space_group_IT_number 1
_cell_length_a 9.378
_cell_length_b 4.130
_cell_length_c 9.795
_cell_angle_alpha 90.00
_cell_angle_beta 100.01
_cell_angle_gamma 90.00
loop_
_space_group_symop_operation_xyz
'x,y,z'
loop_
_atom_site_label
_atom_site_type_symbol
_atom_site_fract_x
_atom_site_fract_y
_atom_site_fract_z
Sm1 Sm 0.141 0.250 0.155
Sm2 Sm 0.859 0.750 0.845
Tl1 Tl 0.324 0.750 0.806
Tl2 Tl 0.676 0.250 0.194
In1 In 0.370 0.750 0.437
In2 In 0.630 0.250 0.563
Se1 Se 0.077 0.250 0.852
Se2 Se 0.188 0.250 0.462
Se3 Se 0.368 0.750 0.159
Se4 Se 0.632 0.250 0.841
Se5 Se 0.812 0.750 0.538
Se6 Se 0.923 0.750 0.148
```

## Properties
- Formation energy from raw total energies: -1.000 eV/atom
- Density of states at the Fermi level: 0.356 states/eV per atom

=====

No. 11
Compound: MgHg2P
Source: Alexandria
Functional: PBE
Structure: relaxed

Cell and atoms, written as CIF:
```
data_MgHg2P
_space_group_name_H-M_alt 'P 1'
_space_group_IT_number 1
_cell_length_a 5.423
_cell_length_b 5.423
_cell_length_c 3.292
_cell_angle_alpha 90.00
_cell_angle_beta 90.00
_cell_angle_gamma 117.97
loop_
_space_group_symop_operation_xyz
'x,y,z'
loop_
_atom_site_label
_atom_site_type_symbol
_atom_site_fract_x
_atom_site_fract_y
_atom_site_fract_z
Mg1 Mg 0.000 0.000 0.000
Hg1 Hg 0.000 0.500 0.500
Hg2 Hg 0.500 0.000 0.500
P1 P 0.500 0.500 0.000
```

## Properties
- Density of states at the Fermi level: 0.297 states/eV per atom
- Energy relative to the elements: 0.7 eV per formula unit

=====

No. 12
Compound: AcEuMgIr
Source: Alexandria
Functional: PBE
Structure: relaxed

Cell and atoms, written as CIF:
```
data_AcEuMgIr
_space_group_name_H-M_alt 'P 1'
_space_group_IT_number 1
_cell_length_a 5.334
_cell_length_b 5.334
_cell_length_c 5.334
_cell_angle_alpha 60.00
_cell_angle_beta 60.00
_cell_angle_gamma 60.00
loop_
_space_group_symop_operation_xyz
'x,y,z'
loop_
_atom_site_label
_atom_site_type_symbol
_atom_site_fract_x
_atom_site_fract_y
_atom_site_fract_z
Ac1 Ac 0.000 0.000 0.000
Eu1 Eu 0.500 0.500 0.500
Mg1 Mg 0.250 0.250 0.250
Ir1 Ir 0.750 0.750 0.750
```

## Properties
- Density of states at the Fermi level: 1.189 states/eV per atom
- Energy relative to the elements: -0.7 eV per formula unit